1.
{
  "formula": "Cs5DyTe4",
  "functional": "PBE-GGA",
  "state": "optimized geometry",
  "lattice_angstrom": [[5.121, 0.000, 0.000], [0.000, 9.616, -1.032], [-2.561, -3.672, 10.833]],
  "species": ["Cs", "Cs", "Cs", "Cs", "Cs", "Dy", "Te", "Te", "Te", "Te"],
  "fractional_positions": [[0.171, 0.430, 0.342], [0.171, 0.907, 0.342], [0.829, 0.093, 0.658], [0.500, 0.500, 0.000], [0.829, 0.570, 0.658], [0.500, 0.000, 0.000], [0.656, 0.154, 0.312], [0.000, 0.209, 0.000], [0.344, 0.846, 0.688], [0.000, 0.791, 0.000]],
  "sg": "C2/m (12)",
  "energy_ev_per_cell": -31.59,
  "e_form_raw_ev_per_atom": -1.016
}

***

2.
{
  "formula": "Cs2Dy3Te6",
  "functional": "PBE-GGA",
  "state": "optimized geometry",
  "lattice_angstrom": [[-0.611, 5.278, 5.421], [-6.783, 1.561, 3.030], [1.205, -4.770, 8.329]],
  "species": ["Cs", "Cs", "Dy", "Dy", "Dy", "Te", "Te", "Te", "Te", "Te", "Te"],
  "fractional_positions": [[0.166, 0.667, 0.500], [0.834, 0.333, 0.500], [0.000, 0.000, 0.000], [0.333, 0.335, 0.000], [0.667, 0.665, 0.000], [0.397, 0.669, 0.809], [0.728, 0.000, 0.810], [0.066, 0.331, 0.809], [0.272, 0.000, 0.190], [0.603, 0.331, 0.191], [0.934, 0.669, 0.191]],
  "sg": "C2/m (12)",
  "energy_ev_per_cell": -48.72,
  "e_form_raw_ev_per_atom": -1.305
}

***

3.
{
  "formula": "Cs3Dy3ThTe8",
  "functional": "PBE-GGA",
  "state": "optimized geometry",
  "lattice_angstrom": [[9.016, 0.000, 0.000], [-4.508, 7.808, -0.035], [0.000, -5.172, 9.123]],
  "species": ["Cs", "Cs", "Cs", "Dy", "Dy", "Dy", "Th", "Te", "Te", "Te", "Te", "Te", "Te", "Te", "Te"],
  "fractional_positions": [[0.000, 0.000, 0.000], [0.000, 0.500, 0.000], [0.500, 0.500, 0.000], [0.500, 0.000, 0.500], [0.500, 0.500, 0.500], [0.000, 0.500, 0.500], [0.000, 0.000, 0.500], [0.270, 0.541, 0.312], [0.730, 0.459, 0.688], [0.767, 0.535, 0.309], [0.233, 0.465, 0.691], [0.767, 0.042, 0.310], [0.233, 0.958, 0.690], [0.275, 0.042, 0.310], [0.725, 0.958, 0.690]],
  "sg": "C2/m (12)",
  "energy_ev_per_cell": -69.44,
  "e_form_raw_ev_per_atom": -1.368
}

***

4.
{
  "formula": "Cs3DyTh3Te8",
  "functional": "PBE-GGA",
  "state": "optimized geometry",
  "lattice_angstrom": [[8.984, 0.000, 0.000], [-4.492, 7.778, -0.036], [0.000, -5.142, 9.292]],
  "species": ["Cs", "Cs", "Cs", "Dy", "Th", "Th", "Th", "Te", "Te", "Te", "Te", "Te", "Te", "Te", "Te"],
  "fractional_positions": [[0.000, 0.000, 0.000], [0.000, 0.500, 0.000], [0.500, 0.500, 0.000], [0.000, 0.000, 0.500], [0.500, 0.000, 0.500], [0.500, 0.500, 0.500], [0.000, 0.500, 0.500], [0.266, 0.533, 0.299], [0.734, 0.467, 0.701], [0.770, 0.541, 0.306], [0.230, 0.459, 0.694], [0.770, 0.036, 0.306], [0.230, 0.964, 0.694], [0.265, 0.036, 0.306], [0.735, 0.964, 0.694]],
  "sg": "R-3m (166)",
  "energy_ev_per_cell": -73.28,
  "e_form_raw_ev_per_atom": -1.248
}

***

5.
{
  "formula": "Cs3Dy3TiTe8",
  "functional": "PBE-GGA",
  "state": "optimized geometry",
  "lattice_angstrom": [[-1.543, -1.673, -8.476], [7.838, -1.851, 3.482], [-7.666, -6.595, 2.697]],
  "species": ["Cs", "Cs", "Cs", "Dy", "Dy", "Dy", "Ti", "Te", "Te", "Te", "Te", "Te", "Te", "Te", "Te"],
  "fractional_positions": [[0.000, 0.000, 0.000], [0.000, 0.500, 0.000], [0.500, 0.500, 0.000], [0.500, 0.000, 0.500], [0.500, 0.500, 0.500], [0.000, 0.500, 0.500], [0.000, 0.000, 0.500], [0.269, 0.539, 0.308], [0.731, 0.461, 0.692], [0.785, 0.570, 0.320], [0.215, 0.430, 0.680], [0.785, 0.035, 0.321], [0.215, 0.965, 0.679], [0.250, 0.035, 0.321], [0.750, 0.965, 0.679]],
  "sg": "R-3m (166)",
  "energy_ev_per_cell": -67.54,
  "e_form_raw_ev_per_atom": -1.209
}

***

6.
{
  "formula": "CsDyTlTe3",
  "functional": "PBE-GGA",
  "state": "optimized geometry",
  "lattice_angstrom": [[4.609, 0.000, 0.000], [0.000, 10.070, -0.450], [0.000, -3.118, 11.203]],
  "species": ["Cs", "Cs", "Dy", "Dy", "Tl", "Tl", "Te", "Te", "Te", "Te", "Te", "Te"],
  "fractional_positions": [[0.250, 0.210, 0.246], [0.750, 0.790, 0.754], [0.250, 0.661, 0.122], [0.750, 0.339, 0.878], [0.250, 0.064, 0.624], [0.750, 0.936, 0.376], [0.750, 0.864, 0.105], [0.250, 0.136, 0.895], [0.250, 0.754, 0.413], [0.750, 0.246, 0.587], [0.750, 0.464, 0.152], [0.250, 0.536, 0.848]],
  "sg": "P2_1/m (11)",
  "energy_ev_per_cell": -45.64,
  "e_form_raw_ev_per_atom": -0.929
}